Density functional theory data (PBE+U) for Tl2CrCl2F4 after structural relaxation.

Cell: 6.487 6.487 6.487 Å, 118.68 118.68 92.31°
Positions (direct):
Tl  0.250  0.750  0.500
Tl  0.750  0.250  0.500
Cr  0.000  0.000  0.000
Cl  0.263  0.263  0.000
Cl  0.737  0.737  0.000
F  0.197  0.197  0.394
F  0.197  0.803  0.000
F  0.803  0.197  0.000
F  0.803  0.803  0.606

## Properties
- Total magnetization: 2.0 μB/f.u.
- E_tot: -4.38 eV per atom
- Symmetry: I4/mmm